Arrangement 1

## YTa2Br (meta-GGA SCAN)

Data for YTa2Br at its PBEsol-relaxed geometry.

Summary:
V   21.59 Å³/atom
Total magnetization   0.000 μB per formula unit
Space-group type   No. 160

Structure (POSCAR):
```
YTa2Br
1.0
-1.573 1.807 -2.349
0.888 -0.299 -3.221
-6.159 -6.002 -2.888
Y Br Ta
1 1 2
Direct
0.500 0.500 0.500
0.253 0.253 0.242
0.006 0.006 0.982
0.741 0.741 0.776
```

Arrangement 2

## YTa2Br (meta-GGA SCAN)

Data for YTa2Br at its PBEsol-relaxed geometry.

Summary:
V   21.12 Å³/atom
Total magnetization   0.000 μB per formula unit
Space-group type   No. 10

Structure (POSCAR):
```
YTa2Br
1.0
3.246 0.003 0.000
0.004 4.580 0.000
0.000 0.000 5.680
Y Br Ta
1 1 2
Direct
0.000 0.000 0.500
0.500 0.500 0.500
0.264 0.228 0.000
0.736 0.772 0.000
```

The energy of each structure relative to the most stable one, in meV per atom, is as follows: arrangement 1 0; arrangement 2 279.

Arrangement 1

## ZrTa2Br (meta-GGA SCAN)

Data for ZrTa2Br at its PBEsol-relaxed geometry.

Summary:
V   19.18 Å³/atom
Total magnetization   0.000 μB per formula unit
Space-group type   No. 65

Structure (POSCAR):
```
ZrTa2Br
1.0
3.018 0.007 0.000
-1.134 2.797 0.000
0.000 0.000 9.079
Br Zr Ta
1 1 2
Direct
0.500 0.500 0.000
0.500 0.500 0.500
0.000 0.000 0.244
0.000 0.000 0.756
```

Arrangement 2

## ZrTa2Br (meta-GGA SCAN)

Data for ZrTa2Br at its PBEsol-relaxed geometry.

Summary:
V   18.98 Å³/atom
Total magnetization   0.000 μB per formula unit
Space-group type   No. 65

Structure (POSCAR):
```
ZrTa2Br
1.0
3.003 0.000 0.000
0.000 5.407 0.000
0.000 -2.703 4.677
Br Zr Ta
1 1 2
Direct
0.500 0.500 0.000
0.500 0.000 0.000
0.000 0.500 0.500
0.000 0.000 0.500
```

The energy of each structure relative to the most stable one, in meV per atom, is as follows: arrangement 1 0; arrangement 2 134.

Arrangement 1

## TcBr3 (meta-GGA SCAN)

Data for TcBr3 at its PBEsol-relaxed geometry.

Summary:
V   27.51 Å³/atom
Total magnetization   0.994 μB per formula unit
Space-group type   No. 59

Structure (POSCAR):
```
TcBr3
1.0
-3.118 -1.416 -4.793
-4.648 -2.678 3.815
-5.339 10.003 0.517
Br Tc
12 4
Direct
0.500 0.082 0.000
0.000 0.918 0.500
0.000 0.467 0.000
0.500 0.533 0.500
0.500 0.599 0.837
0.500 0.599 0.163
0.000 0.401 0.663
0.000 0.401 0.337
0.000 0.904 0.854
0.000 0.904 0.146
0.500 0.096 0.646
0.500 0.096 0.354
0.279 0.758 0.000
0.721 0.758 0.000
0.779 0.242 0.500
0.221 0.242 0.500
```

Arrangement 2

## TcBr3 (meta-GGA SCAN)

Data for TcBr3 at its PBEsol-relaxed geometry.

Summary:
V   27.66 Å³/atom
Total magnetization   1.522 μB per formula unit
Space-group type   No. 193

Structure (POSCAR):
```
TcBr3
1.0
5.972 0.000 0.000
0.000 6.541 0.000
0.000 -3.271 5.665
Tc Br
2 6
Direct
0.000 0.000 0.000
0.500 0.000 0.000
0.750 0.694 0.000
0.250 0.306 0.000
0.750 0.306 0.306
0.750 0.000 0.694
0.250 0.694 0.694
0.250 0.000 0.306
```

Arrangement 3

## TcBr3 (meta-GGA SCAN)

Data for TcBr3 at its PBEsol-relaxed geometry.

Summary:
V   22.43 Å³/atom
Total magnetization   4.393 μB per formula unit
Space-group type   No. 65

Structure (POSCAR):
```
TcBr3
1.0
3.346 0.000 0.000
0.000 5.179 0.029
0.000 -0.035 5.179
Tc Br
1 3
Direct
0.000 0.000 0.000
0.500 0.000 0.500
0.500 0.500 0.000
0.000 0.500 0.500
```

Arrangement 4

## TcBr3 (meta-GGA SCAN)

Data for TcBr3 at its PBEsol-relaxed geometry.

Summary:
V   32.45 Å³/atom
Total magnetization   3.680 μB per formula unit
Space-group type   No. 221

Structure (POSCAR):
```
TcBr3
1.0
-4.122 1.959 -2.192
-2.302 0.198 4.506
1.829 4.665 0.729
Tc Br
1 3
Direct
0.000 0.000 0.000
0.500 0.000 0.000
0.000 0.500 0.000
0.000 0.000 0.500
```

The energy of each structure relative to the most stable one, in meV per atom, is as follows: arrangement 1 0; arrangement 2 19; arrangement 3 1235; arrangement 4 273.